SiOsW3 | GGA-PBE | relaxed

* space group: Pm-3m (221)
* crystal system: cubic
* formation energy (no corrections): 1.4436 eV/atom

POSCAR file:
```
SiOsW3
1.0
4.413 0.000 0.000
0.000 4.413 0.000
0.000 0.000 4.413
Si Os W
1 1 3
Direct
0.000 0.000 0.000
0.500 0.500 0.500
0.000 0.000 0.500
0.000 0.500 0.000
0.500 0.000 0.000
```

Si2OsW | GGA-PBE | relaxed

* space group: P4/mmm (123)
* crystal system: tetragonal
* formation energy (no corrections): -0.0992 eV/atom

POSCAR file:
```
Si2OsW
1.0
2.982 0.000 0.000
0.000 2.982 0.000
0.000 0.000 6.104
Si Os W
2 1 1
Direct
0.000 0.000 0.242
0.000 0.000 0.758
0.500 0.500 0.000
0.500 0.500 0.500
```

SiOs2W | GGA-PBE | relaxed

* space group: P4mm (99)
* crystal system: tetragonal
* formation energy (no corrections): -0.0179 eV/atom

POSCAR file:
```
SiOs2W
1.0
2.876 0.000 0.000
0.000 2.876 0.000
0.000 0.000 6.844
Si Os W
1 2 1
Direct
0.000 0.000 0.000
0.000 0.000 0.516
0.500 0.500 0.791
0.500 0.500 0.246
```

Si2OsW | GGA-PBE | relaxed

* space group: P4mm (99)
* crystal system: tetragonal
* formation energy (no corrections): -0.1988 eV/atom

POSCAR file:
```
Si2OsW
1.0
3.113 0.000 0.000
0.000 3.113 0.000
0.000 0.000 5.723
Si Os W
2 1 1
Direct
0.000 0.000 0.000
0.500 0.500 0.246
0.500 0.500 0.795
0.000 0.000 0.454
```

Si4OsW | GGA-PBE | relaxed

* space group: F-43m (216)
* crystal system: cubic
* formation energy (no corrections): 0.6166 eV/atom

POSCAR file:
```
Si4OsW
1.0
0.000 3.409 3.409
3.409 0.000 3.409
3.409 3.409 0.000
Si Os W
4 1 1
Direct
0.125 0.125 0.125
0.125 0.125 0.626
0.125 0.626 0.125
0.626 0.125 0.125
0.500 0.500 0.500
0.750 0.750 0.750
```

SiOsW | GGA-PBE | relaxed

* space group: P-6m2 (187)
* crystal system: hexagonal
* formation energy (no corrections): -0.1912 eV/atom

POSCAR file:
```
SiOsW
1.0
4.190 0.000 0.000
-2.095 3.628 0.000
0.000 0.000 2.842
Si Os W
1 1 1
Direct
0.000 0.000 0.000
0.333 0.667 0.000
0.667 0.333 0.500
```

SiOs2W | GGA-PBE | relaxed

* space group: R-3m (166)
* crystal system: trigonal
* formation energy (no corrections): 0.0256 eV/atom

POSCAR file:
```
SiOs2W
1.0
2.814 0.000 0.000
-1.407 2.437 0.000
0.000 0.000 25.186
Si Os W
3 6 3
Direct
0.000 0.000 0.000
0.333 0.667 0.667
0.667 0.333 0.333
0.000 0.000 0.255
0.000 0.000 0.745
0.333 0.667 0.412
0.333 0.667 0.922
0.667 0.333 0.078
0.667 0.333 0.588
0.000 0.000 0.500
0.333 0.667 0.167
0.667 0.333 0.833
```

SiOs2W | GGA-PBE | relaxed

* space group: R3m (160)
* crystal system: trigonal
* formation energy (no corrections): 0.0643 eV/atom

POSCAR file:
```
SiOs2W
1.0
2.781 0.000 0.000
-1.390 2.408 0.000
0.000 0.000 25.823
Si Os W
3 6 3
Direct
0.000 0.000 0.000
0.333 0.667 0.667
0.667 0.333 0.333
0.000 0.000 0.497
0.000 0.000 0.743
0.333 0.667 0.164
0.333 0.667 0.410
0.667 0.333 0.076
0.667 0.333 0.831
0.000 0.000 0.249
0.333 0.667 0.916
0.667 0.333 0.583
```

SiOs2W | GGA-PBE | relaxed

* space group: I-42d (122)
* crystal system: tetragonal
* formation energy (no corrections): 0.9187 eV/atom

POSCAR file:
```
SiOs2W
1.0
5.538 0.000 0.000
0.000 5.538 0.000
0.000 0.000 10.997
Si Os W
4 8 4
Direct
0.000 0.000 0.000
0.000 0.500 0.250
0.500 0.000 0.750
0.500 0.500 0.500
0.232 0.250 0.125
0.250 0.732 0.375
0.250 0.768 0.875
0.268 0.250 0.625
0.732 0.750 0.625
0.750 0.232 0.875
0.750 0.268 0.375
0.768 0.750 0.125
0.000 0.000 0.500
0.000 0.500 0.750
0.500 0.000 0.250
0.500 0.500 0.000
```

SiOsW | GGA-PBE | relaxed

* space group: I4mm (107)
* crystal system: tetragonal
* formation energy (no corrections): -0.2047 eV/atom

POSCAR file:
```
SiOsW
1.0
2.903 0.000 0.000
0.000 2.903 0.000
0.000 0.000 9.984
Si Os W
2 2 2
Direct
0.000 0.000 0.000
0.500 0.500 0.500
0.000 0.000 0.358
0.500 0.500 0.858
0.000 0.000 0.670
0.500 0.500 0.170
```

YSiOs3 | GGA-PBE | relaxed

* space group: Pm-3m (221)
* crystal system: cubic
* formation energy (no corrections): 3.1220 eV/atom

POSCAR file:
```
YSiOs3
1.0
4.862 0.000 0.000
0.000 4.862 0.000
0.000 0.000 4.862
Y Si Os
1 1 3
Direct
0.000 0.000 0.000
0.500 0.500 0.500
0.000 0.000 0.500
0.000 0.500 0.000
0.500 0.000 0.000
```

YSi3Os3 | GGA-PBE | relaxed

* space group: R-3 (148)
* crystal system: trigonal
* formation energy (no corrections): -0.2043 eV/atom

POSCAR file:
```
YSi3Os3
1.0
3.321 1.917 6.653
-3.321 1.917 6.653
0.000 -3.834 6.653
Y Si Os
2 6 6
Direct
0.165 0.165 0.165
0.835 0.835 0.835
0.150 0.689 0.389
0.311 0.611 0.850
0.389 0.150 0.689
0.611 0.850 0.311
0.689 0.389 0.150
0.850 0.311 0.611
0.013 0.591 0.255
0.255 0.013 0.591
0.409 0.745 0.987
0.591 0.255 0.013
0.745 0.987 0.409
0.987 0.409 0.745
```